Computed, not measured: an optimized crystal structure of CsSnSb2I at the GGA-PBEsol level of DFT.

Summary:
The calculation puts the energy at -10.42 eV per cell. The value obtained for the volume is 45.934 Å³ per atom. The value obtained for the raw formation energy is 1132 meV/atom.

a b c (Å): 5.976 5.976 6.431
angles (deg): 90.00 90.00 90.00
Each line ends with the local moment (μB).
Atoms (fractional coordinates):
1 Cs 0.000 0.000 0.000  0.00
2 I 0.000 0.000 0.500  0.06
3 Sn 0.500 0.500 0.500  -0.03
4 Sb 0.000 0.500 0.000  0.10
5 Sb 0.500 0.000 0.000  0.10


Computed, not measured: an optimized crystal structure of Cs2TlSbI6 at the GGA-PBEsol level of DFT.

Summary:
The calculation puts the energy at -28.38 eV per cell. The value obtained for the volume is 47.119 Å³ per atom. The value obtained for the raw formation energy is -871 meV/atom.

a b c (Å): 8.734 8.734 8.734
angles (deg): 60.00 60.00 60.00
Atoms (fractional coordinates):
1 I 0.241 0.241 0.759
2 I 0.759 0.241 0.759
3 I 0.241 0.759 0.759
4 I 0.759 0.759 0.241
5 I 0.759 0.241 0.241
6 I 0.241 0.759 0.241
7 Sb 0.000 0.000 0.000
8 Cs 0.750 0.750 0.750
9 Cs 0.250 0.250 0.250
10 Tl 0.500 0.500 0.500


Computed, not measured: an optimized crystal structure of CsZnSbI2 at the GGA-PBEsol level of DFT.

Summary:
The calculation puts the energy at -12.47 eV per cell. The value obtained for the volume is 36.544 Å³ per atom. The value obtained for the raw formation energy is -371 meV/atom.

a b c (Å): 5.124 5.972 5.972
angles (deg): 90.00 90.00 90.00
Each line ends with the local moment (μB).
Atoms (fractional coordinates):
1 Cs 0.500 0.500 0.500  0.01
2 Zn 0.000 0.000 0.000  0.00
3 Sb 0.500 0.000 0.000  0.25
4 I 0.000 0.500 0.000  0.04
5 I 0.000 0.000 0.500  0.04


Computed, not measured: an optimized crystal structure of CsZnSbI2 at the GGA-PBEsol level of DFT.

Summary:
The calculation puts the energy at -7.53 eV per cell. The value obtained for the volume is 77.182 Å³ per atom. The value obtained for the raw formation energy is 616 meV/atom.

a b c (Å): 7.048 7.048 7.768
angles (deg): 90.00 90.00 90.00
Each line ends with the local moment (μB).
Atoms (fractional coordinates):
1 Cs 0.000 0.000 0.000  0.04
2 I 0.500 0.000 0.000  0.24
3 I 0.000 0.500 0.000  0.24
4 Sb 0.000 0.000 0.500  1.02
5 Zn 0.500 0.500 0.500  -0.03